Record 1
First-principles (GGA-PBE) data for BaSnSe2F after structural relaxation, as listed in Alexandria.

abc: 4.286 4.286 14.352
angles: 90.00 90.00 90.00
Sites, in units of the cell vectors:
1 Ba 0.250 0.250 0.112
2 Ba 0.750 0.750 0.888
3 Sn 0.250 0.250 0.606
4 Sn 0.750 0.750 0.394
5 Se 0.250 0.250 0.397
6 Se 0.250 0.250 0.787
7 Se 0.750 0.750 0.213
8 Se 0.750 0.750 0.603
9 F 0.250 0.750 0.000
10 F 0.750 0.250 0.000

Output
- M_tot (μB per cell) = 0.0
- formation energy without anion corrections (eV per atom) = -1.72

***

Record 2
First-principles (GGA-PBE) data for BaSrSeF2 after structural relaxation, as listed in Alexandria.

abc: 4.532 4.532 6.632
angles: 90.00 90.00 90.00
Sites, in units of the cell vectors:
1 Ba 0.000 0.000 0.000
2 Sr 0.500 0.500 0.392
3 Se 0.500 0.500 0.845
4 F 0.000 0.500 0.274
5 F 0.500 0.000 0.274

Output
- M_tot (μB per cell) = 0.0
- formation energy without anion corrections (eV per atom) = -3.09
- offset from the most stable computed form (eV/atom) = 0.000